1.
A plane-wave DFT calculation with PBE was carried out for a relaxed structure of BeAgS3.

It has space group Pm-3m (No. 221), with a = 4.7781 Å, b = 4.7781 Å, c = 4.7781 Å, α = 90.00°, β = 90.00° and γ = 90.00°. The inequivalent atoms are Be at (0.0000, 0.0000, 0.0000), Ag at (0.5000, 0.5000, 0.5000) and S at (0.0000, 0.5000, 0.5000).

The uncorrected formation energy comes out at 1.217 eV per atom. As for the total moment: 0.000 μB per atom. The total energy comes out at -12.9 eV/cell. The energy relative to the lowest polymorph listed for this composition comes out at 393 kJ/mol of formula units. The density of states at the Fermi level is 5.71 states/eV/f.u.

2.
A plane-wave DFT calculation with PBE was carried out for a relaxed structure of TbHfGa4.

It has space group F-43m (No. 216), with a = 7.6135 Å, b = 7.6135 Å, c = 7.6135 Å, α = 90.00°, β = 90.00° and γ = 90.00°. The inequivalent atoms are Tb at (0.0000, 0.0000, 0.0000), Hf at (0.2500, 0.2500, 0.2500) and Ga at (0.1246, 0.1246, 0.6246).

The formation energy is -244.2 kJ/mol of formula units. As for the total moment: 0.000 μB per atom. The total energy comes out at -116.9 eV/cell. The density of states at the Fermi level is 2.31 states/eV/f.u.

Question: Look up the total moment of the first one.
Answer: 0.000 μB per atom